Entry 1:
VASP calculation (PBE) on a relaxed Hf2Zn2Mo crystal.

abc: 7.508 7.508 3.390
angles: 90.00 90.00 151.80
Element x y z (fractional)
Hf 0.105 0.895 0.000
Hf 0.895 0.105 0.000
Zn 0.304 0.696 0.500
Zn 0.696 0.304 0.500
Mo 0.500 0.500 0.500

E_tot = -33.858 eV for the cell shown
symmetry = Cmmm (65)
M_tot = 0.00 μB per cell



Entry 2:
VASP calculation (PBE) on a relaxed CaYTmIn crystal.

abc: 5.472 5.472 5.472
angles: 60.00 60.00 60.00
Element x y z (fractional)
Ca 0.000 0.000 0.000
Y 0.750 0.750 0.750
Tm 0.250 0.250 0.250
In 0.500 0.500 0.500

E_tot = -16.187 eV for the cell shown
symmetry = F-43m (216)
M_tot = 0.00 μB per cell